Record 1
The following is a DFT calculation (PBE-GGA) of an optimized crystal structure of CsTl4Hg2Sb.

Properties
Formation energy (no corrections)   -0.1080 eV/atom
N(E_F)   5.75 states/eV/cell
Total magnetization   0.00 μB/cell

Cell lengths 5.4461, 5.4461, 33.4118 Å; angles 90.00, 90.00, 120.00 degrees
Space group R-3m (No. 166, hexagonal axes)
Inequivalent atoms, fractional coordinates:
1 Cs 0.0000 0.0000 0.0000 (multiplicity 3)
2 Tl 0.0000 0.0000 0.1323 (multiplicity 6)
3 Tl 0.0000 0.0000 0.4080 (multiplicity 6)
4 Hg 0.0000 0.0000 0.2525 (multiplicity 6)
5 Sb 0.0000 0.0000 0.5000 (multiplicity 3)

Record 2
The following is a DFT calculation (PBE-GGA) of an optimized crystal structure of Tl2NiSb.

Properties
Formation energy (no corrections)   0.4595 eV/atom
N(E_F)   4.24 states/eV/cell
Total magnetization   0.00 μB/cell

Cell lengths 6.313, 9.088, 3.359 Å; angles 90.00, 90.00, 90.00 degrees
Space group Cmmm (No. 65)
Inequivalent atoms, fractional coordinates:
1 Tl 0.250 0.250 0.000 (multiplicity 4)
2 Ni 0.000 0.000 0.500 (multiplicity 2)
3 Sb 0.000 0.500 0.500 (multiplicity 2)